[1]
Here is a relaxed structure of HfPSe2 from Alexandria. Energies are from PBE.

a b c (Å): 7.1602 7.1602 6.3506
angles (deg): 90.00 90.00 90.00
Space group I-42d (No. 122)
Unique sites:
Hf (0.0000, 0.0000, 0.0000) [4 per cell]
P (0.0000, 0.0000, 0.5000) [4 per cell]
Se (0.2449, 0.2500, 0.6250) [8 per cell]

Summary:
Its crystal system is tetragonal. For the raw formation energy, the calculation gives -0.140 eV/atom.


[2]
Here is a relaxed structure of YCd4Cu from Alexandria. Energies are from PBE.

a b c (Å): 8.1534 8.1534 8.1534
angles (deg): 90.00 90.00 90.00
Space group F-43m (No. 216)
Unique sites:
Y (0.0000, 0.0000, 0.0000) [4 per cell]
Cd (0.1249, 0.1249, 0.6249) [16 per cell]
Cu (0.2500, 0.2500, 0.2500) [4 per cell]

Summary:
Its crystal system is cubic. The energy of formation comes out at 0.0560 eV per atom.


[3]
Here is a relaxed structure of PrYHo2 from Alexandria. Energies are from PBE.

a b c (Å): 5.0724 5.0724 5.0614
angles (deg): 90.00 90.00 90.00
Space group P4/mmm (No. 123)
Unique sites:
Pr (0.0000, 0.0000, 0.0000) [1 per cell]
Y (0.5000, 0.5000, 0.0000) [1 per cell]
Ho (0.0000, 0.5000, 0.5000) [2 per cell]

Summary:
Its crystal system is tetragonal. The distance to the lowest polymorph of the same formula comes out at 0.06 eV per formula unit. The energy of formation comes out at 0.0248 eV per atom.


| no. | DOS at the Fermi energy (states/eV/cell) | ρ (g cm⁻³) |
| --- | --- | --- |
| 1 | 8.980 | 7.495 |
| 2 | 15.043 | 7.378 |
| 3 | 5.958 | 7.136 |